Entry 1:
First-principles (PBE-GGA) data for a relaxed structure of Pr6S2N3Cl, as listed in Alexandria via LeMat-Bulk.

Geometry as CIF:
```
data_Pr6S2N3Cl
_chemical_formula_sum 'Pr12 S4 N6 Cl2'
_cell_length_a 17.369
_cell_length_b 3.796
_cell_length_c 8.049
_cell_angle_alpha 90.00
_cell_angle_beta 108.05
_cell_angle_gamma 90.00
_space_group_name_H-M_alt 'C 1 2/m 1'
_space_group_IT_number 12
_space_group_name_Hall '-C 2y'
loop_
_atom_site_label
_atom_site_type_symbol
_atom_site_fract_x
_atom_site_fract_y
_atom_site_fract_z
_atom_site_occupancy
Pr1 Pr 0.012 0.000 0.217 1
Pr2 Pr 0.160 0.500 0.104 1
Pr3 Pr 0.179 0.500 0.561 1
S1 S 0.163 0.000 0.825 1
N1 N 0.000 0.500 0.000 1
N2 N 0.168 0.000 0.333 1
Cl1 Cl 0.000 0.500 0.500 1
```

Electronic total energy (eV for the cell shown): -166.84
E_form (uncorrected) (kJ per mole of atoms): -158.1

---

Entry 2:
First-principles (PBE-GGA) data for a relaxed structure of La11In9Ir4, as listed in Alexandria via LeMat-Bulk.

Geometry as CIF:
```
data_La11In9Ir4
_chemical_formula_sum 'La22 In18 Ir8'
_cell_length_a 15.173
_cell_length_b 22.572
_cell_length_c 3.916
_cell_angle_alpha 90.00
_cell_angle_beta 90.00
_cell_angle_gamma 90.00
_space_group_name_H-M_alt 'C m m m'
_space_group_IT_number 65
_space_group_name_Hall '-C 2 2'
loop_
_atom_site_label
_atom_site_type_symbol
_atom_site_fract_x
_atom_site_fract_y
_atom_site_fract_z
_atom_site_occupancy
La1 La 0.000 0.000 0.000 1
La2 La 0.000 0.162 0.000 1
La3 La 0.000 0.375 0.000 1
La4 La 0.186 0.500 0.000 1
La5 La 0.248 0.170 0.000 1
In1 In 0.000 0.500 0.500 1
In2 In 0.101 0.264 0.500 1
In3 In 0.149 0.069 0.500 1
Ir1 Ir 0.155 0.398 0.500 1
```

Electronic total energy (eV for the cell shown): -259.33
Energy of formation from the pure elements (eV per formula unit): -15.37

---

Entry 3:
First-principles (PBE-GGA) data for a relaxed structure of TePdSN2, as listed in Alexandria via LeMat-Bulk.

Geometry as CIF:
```
data_TePdSN2
_chemical_formula_sum 'Te1 Pd1 S1 N2'
_cell_length_a 3.862
_cell_length_b 3.862
_cell_length_c 5.588
_cell_angle_alpha 90.00
_cell_angle_beta 90.00
_cell_angle_gamma 90.00
_space_group_name_H-M_alt 'P 4/m m m'
_space_group_IT_number 123
_space_group_name_Hall '-P 4 2'
loop_
_atom_site_label
_atom_site_type_symbol
_atom_site_fract_x
_atom_site_fract_y
_atom_site_fract_z
_atom_site_occupancy
Te1 Te 0.000 0.000 0.000 1
Pd1 Pd 0.500 0.500 0.500 1
S1 S 0.000 0.000 0.500 1
N1 N 0.000 0.500 0.000 1
```

Energy above the lowest structure with this stoichiometry (eV/atom): 0.105
Electronic total energy (eV for the cell shown): -21.70
E_form (uncorrected) (kJ per mole of atoms): 143.0

---

Entry 4:
First-principles (PBE-GGA) data for a relaxed structure of PaSnRh, as listed in Alexandria via LeMat-Bulk.

Geometry as CIF:
```
data_PaSnRh
_chemical_formula_sum 'Pa6 Sn6 Rh6'
_cell_length_a 13.552
_cell_length_b 3.867
_cell_length_c 7.444
_cell_angle_alpha 90.00
_cell_angle_beta 90.00
_cell_angle_gamma 90.00
_space_group_name_H-M_alt 'P m m a'
_space_group_IT_number 51
_space_group_name_Hall '-P 2a 2a'
loop_
_atom_site_label
_atom_site_type_symbol
_atom_site_fract_x
_atom_site_fract_y
_atom_site_fract_z
_atom_site_occupancy
Pa1 Pa 0.047 0.000 0.229 1
Pa2 Pa 0.250 0.000 0.840 1
Sn1 Sn 0.118 0.500 0.556 1
Sn2 Sn 0.250 0.500 0.188 1
Rh1 Rh 0.098 0.500 0.928 1
Rh2 Rh 0.250 0.000 0.448 1
```

Electronic total energy (eV for the cell shown): -136.70
Energy of formation from the pure elements (eV per formula unit): -1.93

---

Entry 5:
First-principles (PBE-GGA) data for a relaxed structure of TlAgI2, as listed in Alexandria via LeMat-Bulk.

Geometry as CIF:
```
data_TlAgI2
_chemical_formula_sum 'Tl3 Ag3 I6'
_cell_length_a 5.3702
_cell_length_b 5.3702
_cell_length_c 26.2054
_cell_angle_alpha 90.00
_cell_angle_beta 90.00
_cell_angle_gamma 120.00
_space_group_name_H-M_alt 'R -3 m'
_space_group_IT_number 166
_space_group_name_Hall '-R 3 2"'
loop_
_atom_site_label
_atom_site_type_symbol
_atom_site_fract_x
_atom_site_fract_y
_atom_site_fract_z
_atom_site_occupancy
Tl1 Tl 0.0000 0.0000 0.0000 1
Ag1 Ag 0.0000 0.0000 0.5000 1
I1 I 0.0000 0.0000 0.3996 1
```

Energy above the lowest structure with this stoichiometry (eV/atom): 0.062
Electronic total energy (eV for the cell shown): -29.57
E_form (uncorrected) (kJ per mole of atoms): -37.1

---

Entry 6:
First-principles (PBE-GGA) data for a relaxed structure of MnTeCl2, as listed in Alexandria via LeMat-Bulk.

Geometry as CIF:
```
data_MnTeCl2
_chemical_formula_sum 'Mn3 Te3 Cl6'
_cell_length_a 3.4724
_cell_length_b 3.4724
_cell_length_c 35.6478
_cell_angle_alpha 90.00
_cell_angle_beta 90.00
_cell_angle_gamma 120.00
_space_group_name_H-M_alt 'R -3 m'
_space_group_IT_number 166
_space_group_name_Hall '-R 3 2"'
loop_
_atom_site_label
_atom_site_type_symbol
_atom_site_fract_x
_atom_site_fract_y
_atom_site_fract_z
_atom_site_occupancy
Mn1 Mn 0.0000 0.0000 0.0000 1
Te1 Te 0.0000 0.0000 0.5000 1
Cl1 Cl 0.0000 0.0000 0.2913 1
```

Energy above the lowest structure with this stoichiometry (eV/atom): 0.000
Electronic total energy (eV for the cell shown): -55.23
E_form (uncorrected) (kJ per mole of atoms): -58.0

---

Entry 7:
First-principles (PBE-GGA) data for a relaxed structure of RbZnTc3, as listed in Alexandria via LeMat-Bulk.

Geometry as CIF:
```
data_RbZnTc3
_chemical_formula_sum 'Rb1 Zn1 Tc3'
_cell_length_a 4.923
_cell_length_b 4.923
_cell_length_c 4.923
_cell_angle_alpha 90.00
_cell_angle_beta 90.00
_cell_angle_gamma 90.00
_space_group_name_H-M_alt 'P m -3 m'
_space_group_IT_number 221
_space_group_name_Hall '-P 4 2 3'
loop_
_atom_site_label
_atom_site_type_symbol
_atom_site_fract_x
_atom_site_fract_y
_atom_site_fract_z
_atom_site_occupancy
Rb1 Rb 0.000 0.000 0.000 1
Zn1 Zn 0.500 0.500 0.500 1
Tc1 Tc 0.000 0.500 0.500 1
```

Energy above the lowest structure with this stoichiometry (eV/atom): 0.000
Electronic total energy (eV for the cell shown): -23.30
Energy of formation from the pure elements (eV per formula unit): 10.04

---

Entry 8:
First-principles (PBE-GGA) data for a relaxed structure of SrHN2F, as listed in Alexandria via LeMat-Bulk.

Geometry as CIF:
```
data_SrHN2F
_chemical_formula_sum 'Sr1 H1 N2 F1'
_cell_length_a 5.399
_cell_length_b 5.399
_cell_length_c 4.668
_cell_angle_alpha 90.00
_cell_angle_beta 90.00
_cell_angle_gamma 90.00
_space_group_name_H-M_alt 'P 4/m m m'
_space_group_IT_number 123
_space_group_name_Hall '-P 4 2'
loop_
_atom_site_label
_atom_site_type_symbol
_atom_site_fract_x
_atom_site_fract_y
_atom_site_fract_z
_atom_site_occupancy
Sr1 Sr 0.000 0.000 0.000 1
H1 H 0.500 0.500 0.500 1
N1 N 0.000 0.500 0.000 1
F1 F 0.000 0.000 0.500 1
```

Energy above the lowest structure with this stoichiometry (eV/atom): 0.744
Electronic total energy (eV for the cell shown): -19.13

---

Entry 9:
First-principles (PBE-GGA) data for a relaxed structure of ScHgBr2Cl, as listed in Alexandria via LeMat-Bulk.

Geometry as CIF:
```
data_ScHgBr2Cl
_chemical_formula_sum 'Sc1 Hg1 Br2 Cl1'
_cell_length_a 5.372
_cell_length_b 5.372
_cell_length_c 5.052
_cell_angle_alpha 90.00
_cell_angle_beta 90.00
_cell_angle_gamma 90.00
_space_group_name_H-M_alt 'P 4/m m m'
_space_group_IT_number 123
_space_group_name_Hall '-P 4 2'
loop_
_atom_site_label
_atom_site_type_symbol
_atom_site_fract_x
_atom_site_fract_y
_atom_site_fract_z
_atom_site_occupancy
Sc1 Sc 0.000 0.000 0.000 1
Hg1 Hg 0.500 0.500 0.500 1
Br1 Br 0.000 0.500 0.000 1
Cl1 Cl 0.000 0.000 0.500 1
```

Electronic total energy (eV for the cell shown): -18.21
E_form (uncorrected) (kJ per mole of atoms): -123.1

---

Entry 10:
First-principles (PBE-GGA) data for a relaxed structure of LiSm2TiPt6, as listed in Alexandria via LeMat-Bulk.

Geometry as CIF:
```
data_LiSm2TiPt6
_chemical_formula_sum 'Li2 Sm4 Ti2 Pt12'
_cell_length_a 9.867
_cell_length_b 5.697
_cell_length_c 8.478
_cell_angle_alpha 90.00
_cell_angle_beta 112.78
_cell_angle_gamma 90.00
_space_group_name_H-M_alt 'C 1 2/m 1'
_space_group_IT_number 12
_space_group_name_Hall '-C 2y'
loop_
_atom_site_label
_atom_site_type_symbol
_atom_site_fract_x
_atom_site_fract_y
_atom_site_fract_z
_atom_site_occupancy
Li1 Li 0.000 0.000 0.000 1
Sm1 Sm 0.205 0.000 0.615 1
Ti1 Ti 0.000 0.500 0.500 1
Pt1 Pt 0.007 0.245 0.265 1
Pt2 Pt 0.248 0.500 0.735 1
```

Electronic total energy (eV for the cell shown): -126.38
Energy of formation from the pure elements (eV per formula unit): -7.70

---

Entry 11:
First-principles (PBE-GGA) data for a relaxed structure of ScTaP2O, as listed in Alexandria via LeMat-Bulk.

Geometry as CIF:
```
data_ScTaP2O
_chemical_formula_sum 'Sc1 Ta1 P2 O1'
_cell_length_a 4.910
_cell_length_b 4.910
_cell_length_c 3.841
_cell_angle_alpha 90.00
_cell_angle_beta 90.00
_cell_angle_gamma 90.00
_space_group_name_H-M_alt 'P 4/m m m'
_space_group_IT_number 123
_space_group_name_Hall '-P 4 2'
loop_
_atom_site_label
_atom_site_type_symbol
_atom_site_fract_x
_atom_site_fract_y
_atom_site_fract_z
_atom_site_occupancy
Sc1 Sc 0.000 0.000 0.000 1
Ta1 Ta 0.500 0.500 0.500 1
P1 P 0.000 0.500 0.500 1
O1 O 0.500 0.500 0.000 1
```

Energy above the lowest structure with this stoichiometry (eV/atom): 0.000
Electronic total energy (eV for the cell shown): -38.99
E_form (uncorrected) (kJ per mole of atoms): -97.0

---

Entry 12:
First-principles (PBE-GGA) data for a relaxed structure of Zn2ReSi, as listed in Alexandria via LeMat-Bulk.

Geometry as CIF:
```
data_Zn2ReSi
_chemical_formula_sum 'Zn4 Re2 Si2'
_cell_length_a 3.596
_cell_length_b 3.596
_cell_length_c 8.657
_cell_angle_alpha 90.00
_cell_angle_beta 90.00
_cell_angle_gamma 90.00
_space_group_name_H-M_alt 'I 4/m m m'
_space_group_IT_number 139
_space_group_name_Hall '-I 4 2'
loop_
_atom_site_label
_atom_site_type_symbol
_atom_site_fract_x
_atom_site_fract_y
_atom_site_fract_z
_atom_site_occupancy
Zn1 Zn 0.000 0.500 0.250 1
Re1 Re 0.000 0.000 0.000 1
Si1 Si 0.000 0.000 0.500 1
```

Electronic total energy (eV for the cell shown): -39.85
E_form (uncorrected) (kJ per mole of atoms): 11.9

---

Question: What is the electronic total energy in the fourth record?
Answer: -136.70 eV for the cell shown

---

Question: Look up the electronic total energy of the twelfth one.
Answer: -39.85 eV for the cell shown